Record 1
Entry from OQMD via LeMat-Bulk: an optimized crystal structure of CoBiAu2 (PBE).

Unit cell a=6.707 b=6.707 c=6.707 alpha=90.00 beta=90.00 gamma=90.00
Space group F-43m (No. 216)
Asymmetric unit:
Co 0.000 0.000 0.000 [4 per cell]
Bi 0.250 0.250 0.750 [4 per cell]
Au 0.000 0.000 0.500 [4 per cell]
Au 0.250 0.250 0.250 [4 per cell]

***

Record 2
Entry from OQMD via LeMat-Bulk: an optimized crystal structure of Sm4C2I2BrCl2 (PBE).

Unit cell a=19.802 b=3.908 c=8.172 alpha=90.00 beta=103.85 gamma=90.00
Space group C2/m (No. 12)
Asymmetric unit:
Sm 0.002 0.000 0.201 [4 per cell]
Sm 0.152 0.500 0.105 [4 per cell]
C 0.036 0.500 0.023 [4 per cell]
I 0.167 0.000 0.813 [4 per cell]
Br 0.000 0.500 0.500 [2 per cell]
Cl 0.152 0.000 0.348 [4 per cell]

***

Record 3
Entry from OQMD via LeMat-Bulk: an optimized crystal structure of Gd2TmP3 (PBE).

Unit cell a=4.0157 b=4.0157 c=9.8303 alpha=90.00 beta=90.00 gamma=120.00
Space group P-3m1 (No. 164)
Asymmetric unit:
Gd 0.3333 0.6667 0.3307 [2 per cell]
Tm 0.0000 0.0000 0.0000 [1 per cell]
P 0.0000 0.0000 0.5000 [1 per cell]
P 0.3333 0.6667 0.8389 [2 per cell]

***

Record 4
Entry from OQMD via LeMat-Bulk: an optimized crystal structure of Na4CuP2Pd (PBE).

Unit cell a=6.918 b=8.660 c=5.295 alpha=90.00 beta=91.71 gamma=90.00
Space group C2/m (No. 12)
Asymmetric unit:
Na 0.145 0.176 0.253 [8 per cell]
Cu 0.000 0.500 0.000 [2 per cell]
P 0.229 0.000 0.759 [4 per cell]
Pd 0.000 0.500 0.500 [2 per cell]

***

| no. | final energy (eV per atom) |
| --- | --- |
| 1 | -4.058 |
| 2 | -5.496 |
| 3 | -6.606 |
| 4 | -3.511 |